1.
! LiZnSe PBE optimized geometry; values from VASP
! Formation energy from raw total energies ... -129.2 kJ/mol of formula units
! V ... 59.2 Å³/f.u.
! Energy ... -2.670 eV/atom
! SG ... No. 156
&SYSTEM
  ibrav = 0, nat = 3, ntyp = 3
/
ATOMIC_SPECIES
Li 6.94 Li.upf
Se 78.96 Se.upf
Zn 65.41 Zn.upf
ATOMIC_POSITIONS angstrom
Li 0.150 -0.073 0.069
Se -0.016 -2.373 1.349
Zn 1.278 -0.989 3.118
CELL_PARAMETERS angstrom
-0.616 1.952 3.427
-1.540 -3.645 -0.525
3.568 -1.743 1.634

=====

2.
! LiZnSe PBE optimized geometry; values from VASP
! Formation energy from raw total energies ... -132.6 kJ/mol of formula units
! V ... 58.9 Å³/f.u.
! Energy ... -2.682 eV/atom
! SG ... No. 47
&SYSTEM
  ibrav = 0, nat = 3, ntyp = 3
/
ATOMIC_SPECIES
Li 6.94 Li.upf
Zn 65.41 Zn.upf
Se 78.96 Se.upf
ATOMIC_POSITIONS angstrom
Li 2.030 1.824 0.000
Zn 0.000 1.824 1.988
Se 0.000 0.000 0.000
CELL_PARAMETERS angstrom
4.060 0.000 0.000
0.000 3.648 0.000
0.000 0.000 3.975

=====

3.
! Li3ZnSe2 PBE optimized geometry; values from VASP
! Formation energy from raw total energies ... -468.6 kJ/mol of formula units
! V ... 121.8 Å³/f.u.
! Energy ... -3.140 eV/atom
! SG ... No. 72
&SYSTEM
  ibrav = 0, nat = 12, ntyp = 3
/
ATOMIC_SPECIES
Li 6.94 Li.upf
Zn 65.41 Zn.upf
Se 78.96 Se.upf
ATOMIC_POSITIONS angstrom
Li -2.968 -0.304 1.934
Li -4.722 -2.660 1.230
Li 0.445 0.147 4.883
Li 0.539 -2.805 1.566
Li -1.216 -5.161 0.862
Li -1.309 -2.209 4.179
Zn -1.754 -2.356 -0.703
Zn 0.000 0.000 0.000
Se 1.348 -2.185 3.958
Se -2.107 0.257 4.395
Se 1.337 -5.271 1.350
Se -2.119 -2.828 1.787
CELL_PARAMETERS angstrom
-4.181 1.749 4.571
-3.509 -4.712 -1.407
6.919 -2.050 2.581

=====

4.
! LiZnSe PBE optimized geometry; values from VASP
! Formation energy from raw total energies ... -128.4 kJ/mol of formula units
! V ... 73.0 Å³/f.u.
! Energy ... -2.668 eV/atom
! SG ... No. 10
&SYSTEM
  ibrav = 0, nat = 3, ntyp = 3
/
ATOMIC_SPECIES
Li 6.94 Li.upf
Zn 65.41 Zn.upf
Se 78.96 Se.upf
ATOMIC_POSITIONS angstrom
Li 0.000 0.000 0.000
Zn 1.729 -3.253 -0.058
Se 1.646 -1.338 -1.670
CELL_PARAMETERS angstrom
-0.492 -2.455 -2.882
3.784 -0.222 -0.458
0.166 -3.830 3.224

=====

5.
! LiZnSe PBE optimized geometry; values from VASP
! Formation energy from raw total energies ... -109.5 kJ/mol of formula units
! V ... 54.4 Å³/f.u.
! Energy ... -2.602 eV/atom
! SG ... No. 107
&SYSTEM
  ibrav = 0, nat = 3, ntyp = 3
/
ATOMIC_SPECIES
Li 6.94 Li.upf
Se 78.96 Se.upf
Zn 65.41 Zn.upf
ATOMIC_POSITIONS angstrom
Li -2.919 -7.036 -2.500
Se -0.985 -2.374 -0.844
Zn -1.988 -4.792 -1.703
CELL_PARAMETERS angstrom
-2.120 -2.476 -3.531
-0.826 -4.625 1.008
-0.854 4.175 2.220

=====

6.
! LiZnSe PBE optimized geometry; values from VASP
! Formation energy from raw total energies ... -125.8 kJ/mol of formula units
! V ... 60.3 Å³/f.u.
! Energy ... -2.659 eV/atom
! SG ... No. 8
&SYSTEM
  ibrav = 0, nat = 3, ntyp = 3
/
ATOMIC_SPECIES
Li 6.94 Li.upf
Zn 65.41 Zn.upf
Se 78.96 Se.upf
ATOMIC_POSITIONS angstrom
Li 0.237 -0.654 -2.450
Zn -0.912 -1.669 -4.986
Se -1.747 -2.326 -7.376
CELL_PARAMETERS angstrom
-1.433 1.758 -3.186
1.517 -0.749 -3.526
-2.946 -3.077 -2.902